Density functional theory data (PBE) for crystalline Sr2YMnCu at its relaxed geometry.

The structure belongs to space group P4/mmm (No. 123); the cell edges are 5.8053, 5.8053 and 5.3882 Å and the angles 90.00°, 90.00° and 90.00°. Symmetry generates all atoms from Sr at (0.0000, 0.5000, 0.0000), Y at (0.0000, 0.0000, 0.5000), Mn at (0.5000, 0.5000, 0.5000) and Cu at (0.0000, 0.0000, 0.0000).

The calculation puts the raw total energy at -4.10 eV/atom. For the formation energy, the calculation gives 0.5138 eV per atom.

=====

Density functional theory data (PBE) for crystalline Sr2ZrMnCu at its relaxed geometry.

The structure belongs to space group P4/mmm (No. 123); the cell edges are 5.9343, 5.9343 and 4.6761 Å and the angles 90.00°, 90.00° and 90.00°. Symmetry generates all atoms from Sr at (0.0000, 0.5000, 0.0000), Zr at (0.0000, 0.0000, 0.5000), Mn at (0.0000, 0.0000, 0.0000) and Cu at (0.5000, 0.5000, 0.5000).

The calculation puts the raw total energy at -4.32 eV/atom. For the formation energy, the calculation gives 0.7162 eV per atom.

=====

Density functional theory data (PBE) for crystalline Ta4MnCu at its relaxed geometry.

The structure belongs to space group F-43m (No. 216); the cell edges are 7.6191, 7.6191 and 7.6191 Å and the angles 90.00°, 90.00° and 90.00°. Symmetry generates all atoms from Ta at (0.1255, 0.1255, 0.1255), Mn at (0.0000, 0.0000, 0.5000) and Cu at (0.2500, 0.2500, 0.7500).

The calculation puts the raw total energy at -9.45 eV/atom. For the formation energy, the calculation gives 0.6655 eV per atom.